(1)
A relaxed Ac2TbTlO6 crystal. Source: Alexandria, functional GGA-PBE.

The space group is P2_1/c (No. 14) and the conventional cell measures 6.021, 6.246 and 10.561 Å, with angles of 90.00, 124.13 and 90.00 degrees. The inequivalent atoms are Ac at (0.232, 0.054, 0.248), Tb at (0.500, 0.000, 0.000), Tl at (0.000, 0.000, 0.500), O at (0.136, 0.196, 0.938), O at (0.235, 0.703, 0.932) and O at (0.376, 0.055, 0.754).

Its total energy is -0.53053 Ry per atom. The formation energy without anion corrections is -2.72 eV per atom.

(2)
A relaxed AcTb2UO8 crystal. Source: Alexandria, functional GGA-PBE.

The space group is P2/m (No. 10) and the conventional cell measures 3.962, 7.838 and 5.403 Å, with angles of 90.00, 90.10 and 90.00 degrees. The inequivalent atoms are Ac at (0.000, 0.000, 0.000), Tb at (0.500, 0.270, 0.500), U at (0.000, 0.500, 0.000), O at (0.001, 0.284, 0.756), O at (0.499, 0.500, 0.230) and O at (0.500, 0.000, 0.287).

Its total energy is -0.63252 Ry per atom. The formation energy without anion corrections is -3.25 eV per atom.

Question: Look up the formation energy without anion corrections of the first one.
Answer: -2.72 eV per atom

Question: Which value of formation energy without anion corrections does entry 2 give?
Answer: -3.25 eV per atom

Question: Look up the formation energy without anion corrections of the first one.
Answer: -2.72 eV per atom

Question: What is the formation energy without anion corrections in the second record?
Answer: -3.25 eV per atom